[1]
A relaxed structure of Sr2TeRh2. Source: the Alexandria database, functional PBE.

Unit cell a=7.3144 b=7.3144 c=4.5611 alpha=90.00 beta=90.00 gamma=90.00
Positions (direct):
Sr 0.1736 0.3264 0.0000
Sr 0.3264 0.8264 0.0000
Sr 0.6736 0.1736 0.0000
Sr 0.8264 0.6736 0.0000
Te 0.0000 0.0000 0.5000
Te 0.5000 0.5000 0.5000
Rh 0.1321 0.6321 0.5000
Rh 0.3679 0.1321 0.5000
Rh 0.6321 0.8679 0.5000
Rh 0.8679 0.3679 0.5000

Computed properties:
- ΔE_f (raw): -484 meV/atom
- Polymorph energy (0 for the lowest one): 0.000 eV/f.u.
- Magnetic moment: 0.00 μB per formula unit
- D(E_F): 5.1 states/eV per cell
- Symmetry: P4/mbm
- E: -4.73 eV/atom



[2]
A relaxed structure of SrTl2TeRh. Source: the Alexandria database, functional PBE.

Unit cell a=5.2269 b=5.2269 c=5.8386 alpha=90.00 beta=90.00 gamma=90.00
Positions (direct):
Sr 0.0000 0.0000 0.0000
Tl 0.0000 0.5000 0.5000
Tl 0.5000 0.0000 0.5000
Te 0.5000 0.5000 0.0000
Rh 0.0000 0.0000 0.5000

Computed properties:
- ΔE_f (raw): -451 meV/atom
- Magnetic moment: 0.00 μB per formula unit
- D(E_F): 3.3 states/eV per cell
- Symmetry: P4/mmm
- E: -3.83 eV/atom



[3]
A relaxed structure of SrVTeRh2. Source: the Alexandria database, functional PBE.

Unit cell a=4.9865 b=4.9865 c=4.8800 alpha=90.00 beta=90.00 gamma=90.00
Positions (direct):
Sr 0.0000 0.0000 0.0000
V 0.5000 0.5000 0.0000
Te 0.5000 0.5000 0.5000
Rh 0.0000 0.5000 0.5000
Rh 0.5000 0.0000 0.5000

Computed properties:
- ΔE_f (raw): 429 meV/atom
- Magnetic moment: 0.55 μB per formula unit
- D(E_F): 11.7 states/eV per cell
- Symmetry: P4/mmm
- E: -5.30 eV/atom



[4]
A relaxed structure of SrTeRhW2. Source: the Alexandria database, functional PBE.

Unit cell a=4.9790 b=4.9790 c=4.8456 alpha=90.00 beta=90.00 gamma=90.00
Positions (direct):
Sr 0.0000 0.0000 0.0000
Te 0.5000 0.5000 0.5000
Rh 0.0000 0.0000 0.5000
W 0.0000 0.5000 0.0000
W 0.5000 0.0000 0.0000

Computed properties:
- ΔE_f (raw): 3036 meV/atom
- Magnetic moment: 1.36 μB per formula unit
- D(E_F): 10.4 states/eV per cell
- Symmetry: P4/mmm
- E: -4.58 eV/atom



[5]
A relaxed structure of Sr2ZnTeRh. Source: the Alexandria database, functional PBE.

Unit cell a=5.7171 b=5.7171 c=4.7785 alpha=90.00 beta=90.00 gamma=90.00
Positions (direct):
Sr 0.0000 0.5000 0.0000
Sr 0.5000 0.0000 0.0000
Zn 0.0000 0.0000 0.5000
Te 0.5000 0.5000 0.5000
Rh 0.0000 0.0000 0.0000

Computed properties:
- ΔE_f (raw): -640 meV/atom
- Magnetic moment: 0.00 μB per formula unit
- D(E_F): 2.1 states/eV per cell
- Symmetry: P4/mmm
- E: -3.67 eV/atom



[6]
A relaxed structure of SrThRh. Source: the Alexandria database, functional PBE.

Unit cell a=10.8015 b=10.8015 c=8.2820 alpha=93.01 beta=93.01 gamma=25.81
Positions (direct):
Sr 0.0716 0.0716 0.3269
Sr 0.4068 0.4068 0.1366
Sr 0.5932 0.5932 0.8634
Sr 0.9284 0.9284 0.6731
Th 0.2105 0.2105 0.6261
Th 0.2211 0.2211 0.1108
Th 0.7789 0.7789 0.8892
Th 0.7895 0.7895 0.3739
Rh 0.3313 0.3313 0.7995
Rh 0.3329 0.3329 0.4675
Rh 0.6671 0.6671 0.5325
Rh 0.6687 0.6687 0.2005

Computed properties:
- Magnetic moment: 0.00 μB per formula unit
- D(E_F): 9.5 states/eV per cell
- Symmetry: C2/m
- Formation energy from the elements: -36.6 kJ/mol of atoms
- E: -5.86 eV/atom



[7]
A relaxed structure of Sr3ThRh8. Source: the Alexandria database, functional PBE.

Unit cell a=9.4895 b=9.4895 c=9.4895 alpha=33.44 beta=33.44 gamma=33.44
Positions (direct):
Sr 0.0000 0.0000 0.0000
Sr 0.1228 0.1228 0.1228
Sr 0.4941 0.4941 0.4941
Th 0.6221 0.6221 0.6221
Rh 0.0535 0.5590 0.5590
Rh 0.0600 0.0600 0.5648
Rh 0.0600 0.5648 0.0600
Rh 0.3095 0.3095 0.3095
Rh 0.5590 0.0535 0.5590
Rh 0.5590 0.5590 0.0535
Rh 0.5648 0.0600 0.0600
Rh 0.8095 0.8095 0.8095

Computed properties:
- Magnetic moment: 0.00 μB per formula unit
- D(E_F): 10.6 states/eV per cell
- Symmetry: R3m
- Formation energy from the elements: -40.5 kJ/mol of atoms
- E: -6.36 eV/atom



[8]
A relaxed structure of SrThRh2. Source: the Alexandria database, functional PBE.

Unit cell a=3.6060 b=3.6060 c=7.3527 alpha=90.00 beta=90.00 gamma=90.00
Positions (direct):
Sr 0.0000 0.0000 0.0000
Th 0.0000 0.0000 0.5000
Rh 0.5000 0.5000 0.2980
Rh 0.5000 0.5000 0.7020

Computed properties:
- Polymorph energy (0 for the lowest one): 0.000 eV/f.u.
- Magnetic moment: 0.00 μB per formula unit
- D(E_F): 3.2 states/eV per cell
- Symmetry: P4/mmm
- Formation energy from the elements: -59.9 kJ/mol of atoms
- E: -6.57 eV/atom



[9]
A relaxed structure of SrThRh2. Source: the Alexandria database, functional PBE.

Unit cell a=5.0512 b=5.0512 c=5.0512 alpha=60.00 beta=60.00 gamma=60.00
Positions (direct):
Sr 0.0000 0.0000 0.0000
Th 0.5000 0.5000 0.5000
Rh 0.2500 0.2500 0.2500
Rh 0.7500 0.7500 0.7500

Computed properties:
- Polymorph energy (0 for the lowest one): 0.625 eV/f.u.
- Magnetic moment: 0.00 μB per formula unit
- D(E_F): 4.1 states/eV per cell
- Symmetry: Fm-3m
- Formation energy from the elements: -44.8 kJ/mol of atoms
- E: -6.42 eV/atom



[10]
A relaxed structure of SrTi3Rh. Source: the Alexandria database, functional PBE.

Unit cell a=4.8890 b=4.8890 c=4.8890 alpha=90.00 beta=90.00 gamma=90.00
Positions (direct):
Sr 0.0000 0.0000 0.0000
Ti 0.0000 0.5000 0.5000
Ti 0.5000 0.0000 0.5000
Ti 0.5000 0.5000 0.0000
Rh 0.5000 0.5000 0.5000

Computed properties:
- Polymorph energy (0 for the lowest one): 0.000 eV/f.u.
- Magnetic moment: 0.00 μB per formula unit
- D(E_F): 6.9 states/eV per cell
- Symmetry: Pm-3m
- Formation energy from the elements: 25.5 kJ/mol of atoms
- E: -6.28 eV/atom



[11]
A relaxed structure of SrTi3Rh. Source: the Alexandria database, functional PBE.

Unit cell a=4.6276 b=4.6276 c=4.6276 alpha=90.00 beta=90.00 gamma=90.00
Positions (direct):
Sr 0.0000 0.0000 0.0000
Ti 0.0000 0.0000 0.5000
Ti 0.0000 0.5000 0.0000
Ti 0.5000 0.0000 0.0000
Rh 0.5000 0.5000 0.5000

Computed properties:
- Polymorph energy (0 for the lowest one): 8.245 eV/f.u.
- Magnetic moment: 0.99 μB per formula unit
- D(E_F): 7.6 states/eV per cell
- Symmetry: Pm-3m
- Formation energy from the elements: 184.6 kJ/mol of atoms
- E: -4.63 eV/atom



[12]
A relaxed structure of SrTiRh2. Source: the Alexandria database, functional PBE.

Unit cell a=4.7134 b=4.7134 c=4.7134 alpha=60.00 beta=60.00 gamma=60.00
Positions (direct):
Sr 0.0000 0.0000 0.0000
Ti 0.5000 0.5000 0.5000
Rh 0.2500 0.2500 0.2500
Rh 0.7500 0.7500 0.7500

Computed properties:
- Polymorph energy (0 for the lowest one): 1.367 eV/f.u.
- Magnetic moment: 0.00 μB per formula unit
- D(E_F): 2.6 states/eV per cell
- Symmetry: Fm-3m
- Formation energy from the elements: -13.1 kJ/mol of atoms
- E: -6.21 eV/atom